# 1
This record from the Alexandria database describes CrOsCl3 after structural relaxation. The functional is PBE-GGA.

abc: 4.533 4.533 4.533
angles: 90.00 90.00 90.00
Positions (direct):
Cr  0.000  0.000  0.000
Cl  0.000  0.000  0.500
Os  0.500  0.500  0.500
Cl  0.000  0.500  0.000
Cl  0.500  0.000  0.000

## Properties
DOS at the Fermi energy = 2.7971 states/eV per atom
Total magnetic moment = 0.0 Bohr magnetons per cell
E above lowest polymorph = 0.7372 eV/atom

# 2
This record from the Alexandria database describes Cr2OsCl4 after structural relaxation. The functional is PBE-GGA.

abc: 4.918 4.918 7.128
angles: 69.82 69.82 90.00
Positions (direct):
Cr  0.619  0.619  0.762
Cl  0.808  0.808  0.384
Os  0.000  0.000  0.000
Cr  0.381  0.381  0.238
Cl  0.500  0.000  0.000
Cl  0.000  0.500  0.000
Cl  0.192  0.192  0.616

## Properties
Calculated total energy = -5.116 eV per atom
DOS at the Fermi energy = 0.8183 states/eV per atom
Total magnetic moment = 9.3 Bohr magnetons per cell

# 3
This record from the Alexandria database describes CrOsCl2 after structural relaxation. The functional is PBE-GGA.

abc: 2.875 2.875 8.523
angles: 90.00 90.00 90.00
Positions (direct):
Cr  0.000  0.000  0.527
Os  0.500  0.500  0.711
Cl  0.500  0.500  0.343
Cl  0.000  0.000  0.920

## Properties
DOS at the Fermi energy = 0.8297 states/eV per atom
Total magnetic moment = 0.0 Bohr magnetons per cell
E above lowest polymorph = 0.2204 eV/atom

# 4
This record from the Alexandria database describes Cr3OsCl after structural relaxation. The functional is PBE-GGA.

abc: 4.078 4.078 4.078
angles: 90.00 90.00 90.00
Positions (direct):
Os  0.500  0.500  0.500
Cr  0.000  0.000  0.500
Cr  0.000  0.500  0.000
Cr  0.500  0.000  0.000
Cl  0.000  0.000  0.000

## Properties
DOS at the Fermi energy = 1.6097 states/eV per atom
Total magnetic moment = 0.0 Bohr magnetons per cell
E above lowest polymorph = 0.0000 eV/atom

# 5
This record from the Alexandria database describes CrOs2Cl after structural relaxation. The functional is PBE-GGA.

abc: 2.759 2.759 8.658
angles: 90.00 90.00 90.00
Positions (direct):
Os  0.000  0.000  0.976
Cl  0.000  0.000  0.589
Cr  0.500  0.500  0.756
Os  0.500  0.500  0.178

## Properties
DOS at the Fermi energy = 1.0817 states/eV per atom
Total magnetic moment = 1.0 Bohr magnetons per cell
E above lowest polymorph = 0.0000 eV/atom

# 6
This record from the Alexandria database describes CrOs2Cl after structural relaxation. The functional is PBE-GGA.

abc: 5.492 5.492 6.360
angles: 64.42 64.42 90.00
Positions (direct):
Os  0.375  0.364  0.750
Cr  0.000  0.000  0.000
Os  0.636  0.125  0.250
Cl  0.250  0.750  0.500
Os  0.875  0.886  0.750
Cr  0.750  0.250  0.500
Os  0.114  0.625  0.250
Cl  0.500  0.500  0.000

## Properties
DOS at the Fermi energy = 1.7575 states/eV per atom
Total magnetic moment = 0.0 Bohr magnetons per cell
E above lowest polymorph = 0.8762 eV/atom

# 7
This record from the Alexandria database describes CrOsCl2 after structural relaxation. The functional is PBE-GGA.

abc: 3.844 3.844 7.382
angles: 94.45 94.45 55.49
Positions (direct):
Cl  0.086  0.086  0.104
Cr  0.485  0.485  0.299
Cl  0.748  0.748  0.667
Os  0.181  0.181  0.431

## Properties
DOS at the Fermi energy = 0.0853 states/eV per atom
Total magnetic moment = 2.0 Bohr magnetons per cell
E above lowest polymorph = 0.2404 eV/atom

# 8
This record from the Alexandria database describes CrOs2Cl after structural relaxation. The functional is PBE-GGA.

abc: 5.249 5.249 5.249
angles: 149.12 128.38 61.37
Positions (direct):
Cr  0.250  0.750  0.500
Cl  0.750  0.250  0.500
Os  0.511  0.511  0.000
Os  0.989  0.989  0.000

## Properties
DOS at the Fermi energy = 1.1703 states/eV per atom
Total magnetic moment = 1.6 Bohr magnetons per cell
E above lowest polymorph = 0.3564 eV/atom

# 9
This record from the Alexandria database describes CrOsCl2 after structural relaxation. The functional is PBE-GGA.

abc: 4.051 3.243 5.101
angles: 91.78 90.00 90.00
Positions (direct):
Cr  0.500  0.250  0.250
Cl  0.000  0.536  0.510
Cl  0.000  0.964  0.990
Os  0.500  0.750  0.750

## Properties
DOS at the Fermi energy = 0.8498 states/eV per atom
Total magnetic moment = 4.4 Bohr magnetons per cell
E above lowest polymorph = 0.7634 eV/atom

# 10
This record from the Alexandria database describes CrOs2Cl after structural relaxation. The functional is PBE-GGA.

abc: 5.130 5.130 5.130
angles: 148.08 129.43 61.06
Positions (direct):
Os  0.996  0.996  0.000
Cr  0.278  0.778  0.500
Os  0.736  0.236  0.500
Cl  0.489  0.489  0.000

## Properties
DOS at the Fermi energy = 0.9205 states/eV per atom
Total magnetic moment = 0.8 Bohr magnetons per cell
E above lowest polymorph = 0.4369 eV/atom

# 11
This record from the Alexandria database describes CrOsCl2 after structural relaxation. The functional is PBE-GGA.

abc: 5.253 5.253 6.296
angles: 65.34 65.34 90.00
Positions (direct):
Os  0.000  0.000  0.000
Cl  0.144  0.625  0.250
Os  0.750  0.250  0.500
Cl  0.606  0.125  0.250
Cr  0.500  0.500  0.000
Cl  0.375  0.394  0.750
Cl  0.875  0.856  0.750
Cr  0.250  0.750  0.500

## Properties
DOS at the Fermi energy = 0.8044 states/eV per atom
Total magnetic moment = 0.0 Bohr magnetons per cell
E above lowest polymorph = 1.1824 eV/atom

# 12
This record from the Alexandria database describes CrOs2Cl after structural relaxation. The functional is PBE-GGA.

abc: 4.321 4.321 4.321
angles: 60.00 60.00 60.00
Positions (direct):
Cl  0.500  0.500  0.500
Cr  0.250  0.250  0.250
Os  0.750  0.750  0.750
Os  0.000  0.000  0.000

## Properties
DOS at the Fermi energy = 1.1573 states/eV per atom
Total magnetic moment = 0.0 Bohr magnetons per cell
E above lowest polymorph = 0.6124 eV/atom

# 13
This record from the Alexandria database describes CrOs4Cl after structural relaxation. The functional is PBE-GGA.

abc: 5.214 5.214 5.214
angles: 60.00 60.00 60.00
Positions (direct):
Os  0.375  0.375  0.375
Cl  0.750  0.750  0.750
Cr  0.000  0.000  0.000
Os  0.876  0.375  0.375
Os  0.375  0.375  0.876
Os  0.375  0.876  0.375

## Properties
Calculated total energy = -8.109 eV per atom
DOS at the Fermi energy = 1.8352 states/eV per atom
Total magnetic moment = 0.2 Bohr magnetons per cell

# 14
This record from the Alexandria database describes CrOsCl2 after structural relaxation. The functional is PBE-GGA.

abc: 7.927 7.927 7.927
angles: 21.53 21.53 21.53
Positions (direct):
Cr  0.500  0.500  0.500
Os  0.000  0.000  0.000
Cl  0.098  0.098  0.098
Cl  0.902  0.902  0.902

## Properties
DOS at the Fermi energy = 0.6923 states/eV per atom
Total magnetic moment = 0.0 Bohr magnetons per cell
E above lowest polymorph = 0.5294 eV/atom

# 15
This record from the Alexandria database describes CrOsCl2 after structural relaxation. The functional is PBE-GGA.

abc: 4.424 4.424 3.180
angles: 90.00 90.00 90.08
Positions (direct):
Os  0.000  0.500  0.500
Cl  0.500  0.500  0.000
Cl  0.000  0.000  0.000
Cr  0.500  0.000  0.500

## Properties
DOS at the Fermi energy = 0.8738 states/eV per atom
Total magnetic moment = 4.1 Bohr magnetons per cell
E above lowest polymorph = 1.0645 eV/atom

# 16
This record from the Alexandria database describes CrOsCl2 after structural relaxation. The functional is PBE-GGA.

abc: 7.285 7.285 7.285
angles: 156.45 148.64 39.59
Positions (direct):
Cl  0.018  0.018  0.000
Cl  0.757  0.257  0.500
Os  0.289  0.789  0.500
Cr  0.436  0.436  0.000

## Properties
DOS at the Fermi energy = 0.7972 states/eV per atom
Total magnetic moment = 3.0 Bohr magnetons per cell
E above lowest polymorph = 0.5795 eV/atom

# 17
This record from the Alexandria database describes CrOs2Cl after structural relaxation. The functional is PBE-GGA.

abc: 5.652 5.652 4.072
angles: 82.22 82.22 28.31
Positions (direct):
Cr  0.250  0.250  0.250
Os  0.956  0.956  0.030
Cl  0.750  0.750  0.750
Os  0.544  0.544  0.470

## Properties
DOS at the Fermi energy = 0.8985 states/eV per atom
Total magnetic moment = 2.3 Bohr magnetons per cell
E above lowest polymorph = 0.0875 eV/atom

# 18
This record from the Alexandria database describes CrOs2Cl2 after structural relaxation. The functional is PBE-GGA.

abc: 6.427 6.427 4.557
angles: 90.00 90.00 90.00
Positions (direct):
Cl  0.697  0.197  0.500
Os  0.866  0.634  0.000
Cr  0.500  0.500  0.000
Os  0.366  0.866  0.000
Cl  0.303  0.803  0.500
Cl  0.197  0.303  0.500
Cl  0.803  0.697  0.500
Cr  0.000  0.000  0.000
Os  0.634  0.134  0.000
Os  0.134  0.366  0.000

## Properties
DOS at the Fermi energy = 0.8482 states/eV per atom
Total magnetic moment = 3.1 Bohr magnetons per cell
E above lowest polymorph = 0.0000 eV/atom

# 19
This record from the Alexandria database describes CrOsCl2 after structural relaxation. The functional is PBE-GGA.

abc: 4.281 4.281 4.281
angles: 60.00 60.00 60.00
Positions (direct):
Os  0.500  0.500  0.500
Cr  0.000  0.000  0.000
Cl  0.250  0.250  0.250
Cl  0.750  0.750  0.750

## Properties
DOS at the Fermi energy = 1.2266 states/eV per atom
Total magnetic moment = 0.0 Bohr magnetons per cell
E above lowest polymorph = 1.3812 eV/atom

# 20
This record from the Alexandria database describes CrOsCl3 after structural relaxation. The functional is PBE-GGA.

abc: 4.811 4.811 4.811
angles: 90.00 90.00 90.00
Positions (direct):
Cl  0.000  0.000  0.500
Cl  0.500  0.000  0.000
Os  0.000  0.000  0.000
Cr  0.500  0.500  0.500
Cl  0.000  0.500  0.000

## Properties
DOS at the Fermi energy = 1.1823 states/eV per atom
Total magnetic moment = 3.8 Bohr magnetons per cell
E above lowest polymorph = 0.0000 eV/atom